A plane-wave DFT calculation with PBE was carried out for a relaxed Rb2ZnAgI6 crystal.

```
Rb2ZnAgI6
1.0
-7.574 0.820 -3.147
-2.741 -5.903 5.058
-6.426 1.586 5.085
I Rb Ag Zn
6 2 1 1
Direct
0.231 0.231 0.537 I
0.736 0.736 0.000 I
0.264 0.736 0.000 I
0.264 0.264 0.000 I
0.736 0.264 0.000 I
0.769 0.769 0.463 I
0.750 0.250 0.500 Rb
0.250 0.750 0.500 Rb
0.000 0.000 0.000 Ag
0.500 0.500 0.000 Zn
```

Values from the calculation:
Size of the total moment ... 0.000 μB/atom
Symmetry ... I4/mmm (139)
Raw total energy ... -2.25 eV/atom
Raw formation energy ... -0.72 eV per atom